1.
Density functional theory data (PBE-GGA) for a relaxed YEr4Ir5 crystal.

a b c (Å): 3.328 3.328 17.770
angles (deg): 90.00 90.00 90.00
Sites, in units of the cell vectors:
Y 0.000 0.000 0.000
Er 0.000 0.000 0.201
Er 0.000 0.000 0.401
Er 0.000 0.000 0.599
Er 0.000 0.000 0.799
Ir 0.500 0.500 0.103
Ir 0.500 0.500 0.301
Ir 0.500 0.500 0.500
Ir 0.500 0.500 0.699
Ir 0.500 0.500 0.897

Calculated values
Symmetry ... P4/mmm, No. 123
Energy of formation ... -0.856 eV per atom
Magnetization ... 0.000 μB per cell
Density ... 14.51 g cm⁻³

2.
Density functional theory data (PBE-GGA) for a relaxed YErIr crystal.

a b c (Å): 6.493 6.493 11.090
angles (deg): 100.59 100.59 40.37
Sites, in units of the cell vectors:
Y 0.072 0.072 0.176
Y 0.419 0.419 0.348
Y 0.581 0.581 0.652
Y 0.928 0.928 0.824
Er 0.287 0.287 0.616
Er 0.350 0.350 0.033
Er 0.650 0.650 0.967
Er 0.713 0.713 0.384
Ir 0.087 0.087 0.435
Ir 0.167 0.167 0.825
Ir 0.833 0.833 0.175
Ir 0.913 0.913 0.565

Calculated values
Symmetry ... C2/m, No. 12
Energy of formation ... -0.679 eV per atom
Energy above the lowest structure with this stoichiometry ... 0.0281 eV per atom
Magnetization ... 0.000 μB per cell
Density ... 10.03 g cm⁻³

3.
Density functional theory data (PBE-GGA) for a relaxed Y4Er3Ir4 crystal.

a b c (Å): 9.296 9.296 9.296
angles (deg): 156.55 124.43 61.13
Sites, in units of the cell vectors:
Y 0.023 0.834 0.189
Y 0.355 0.166 0.189
Y 0.645 0.834 0.811
Y 0.977 0.166 0.811
Er 0.000 0.500 0.500
Er 0.400 0.400 0.000
Er 0.600 0.600 0.000
Ir 0.254 0.754 0.500
Ir 0.287 0.000 0.287
Ir 0.713 0.000 0.713
Ir 0.746 0.246 0.500

Calculated values
Symmetry ... Immm, No. 71
Energy of formation ... -0.656 eV per atom
Magnetization ... 0.001 μB per cell
Density ... 10.30 g cm⁻³